1.
Crystalline Ho5ScAl2 at its relaxed geometry, computed with PBE-GGA. Values from VASP.

```
&SYSTEM
  ibrav = 0, nat = 16, ntyp = 3
/
ATOMIC_SPECIES
Ho 164.93 Ho.upf
Al 26.98 Al.upf
Sc 44.96 Sc.upf
ATOMIC_POSITIONS crystal
Ho 0.000 0.000 0.158
Ho 0.667 0.333 0.250
Ho 0.333 0.667 0.554
Al 0.667 0.333 0.896
Sc 0.667 0.333 0.750
Sc 0.333 0.667 0.250
Ho 0.000 0.000 0.658
Ho 0.333 0.667 0.750
Al 0.333 0.667 0.396
Al 0.667 0.333 0.604
Ho 0.000 0.000 0.842
Ho 0.667 0.333 0.446
Ho 0.000 0.000 0.342
Ho 0.333 0.667 0.946
Ho 0.667 0.333 0.054
Al 0.333 0.667 0.104
CELL_PARAMETERS angstrom
-2.038 -2.659 -3.956
5.021 -0.538 1.171
-4.346 -14.484 11.976
```

## Properties
ΔE_f in eV/atom: -0.075
Uncorrected energy in eV/f.u.: -37.307
SG: P6_3/mmc (194)

=====

2.
Crystalline Na3B5H2O10 at its relaxed geometry, computed with PBE-GGA. Values from VASP.

```
&SYSTEM
  ibrav = 0, nat = 80, ntyp = 4
/
ATOMIC_SPECIES
O 16.00 O.upf
H 1.01 H.upf
Na 22.99 Na.upf
B 10.81 B.upf
ATOMIC_POSITIONS crystal
O 0.570 0.972 0.958
H 0.402 0.682 0.682
H 0.411 0.825 0.681
Na 0.530 0.258 0.573
O 0.287 0.464 0.845
B 0.042 0.348 0.605
H 0.598 0.182 0.318
B 0.138 0.011 0.752
B 0.862 0.011 0.252
Na 0.090 0.748 0.139
B 0.327 0.998 0.959
O 0.725 0.071 0.561
Na 0.910 0.748 0.639
Na 0.910 0.248 0.861
O 0.094 0.257 0.068
O 0.880 0.088 0.008
O 0.722 0.556 0.154
O 0.725 0.571 0.939
O 0.002 0.406 0.710
H 0.598 0.682 0.182
H 0.589 0.825 0.181
O 0.785 0.878 0.467
O 0.287 0.964 0.655
O 0.906 0.757 0.932
B 0.138 0.511 0.748
O 0.998 0.406 0.210
O 0.094 0.757 0.432
O 0.120 0.088 0.508
B 0.673 0.998 0.459
Na 0.653 0.505 0.745
O 0.713 0.464 0.345
O 0.998 0.906 0.290
O 0.713 0.964 0.155
B 0.278 0.008 0.541
B 0.062 0.126 0.088
O 0.278 0.056 0.846
O 0.278 0.556 0.654
Na 0.530 0.758 0.927
O 0.785 0.378 0.033
Na 0.347 0.005 0.255
Na 0.470 0.258 0.073
O 0.004 0.106 0.211
O 0.004 0.606 0.289
O 0.502 0.753 0.203
B 0.958 0.348 0.105
O 0.215 0.878 0.967
B 0.938 0.126 0.588
O 0.430 0.472 0.042
O 0.498 0.753 0.703
O 0.722 0.056 0.346
O 0.430 0.972 0.458
B 0.062 0.626 0.412
O 0.996 0.606 0.789
B 0.958 0.848 0.395
O 0.570 0.472 0.542
H 0.402 0.182 0.818
Na 0.347 0.505 0.245
B 0.722 0.508 0.459
O 0.002 0.906 0.790
O 0.215 0.378 0.533
O 0.880 0.588 0.492
O 0.996 0.106 0.711
O 0.120 0.588 0.992
H 0.589 0.325 0.319
O 0.906 0.257 0.568
B 0.722 0.008 0.041
B 0.862 0.511 0.248
Na 0.653 0.005 0.755
O 0.502 0.253 0.297
B 0.042 0.848 0.895
Na 0.090 0.248 0.361
H 0.411 0.325 0.819
B 0.327 0.498 0.541
B 0.938 0.626 0.912
Na 0.470 0.758 0.427
B 0.278 0.508 0.959
O 0.275 0.571 0.439
O 0.275 0.071 0.061
B 0.673 0.498 0.041
O 0.498 0.253 0.797
CELL_PARAMETERS angstrom
-2.690 5.153 -1.889
-5.541 -5.787 -7.895
-8.520 -1.778 7.284
```

## Properties
Uncorrected energy in eV/f.u.: -136.869
SG: Pca2_1 (29)

=====

3.
Crystalline AlMoS2N at its relaxed geometry, computed with PBE-GGA. Values from VASP.

```
&SYSTEM
  ibrav = 0, nat = 5, ntyp = 4
/
ATOMIC_SPECIES
S 32.06 S.upf
Al 26.98 Al.upf
Mo 95.94 Mo.upf
N 14.01 N.upf
ATOMIC_POSITIONS crystal
S 0.500 0.000 0.000
Al 0.500 0.500 0.500
Mo 0.000 0.000 0.000
S 0.000 0.500 0.000
N 0.000 0.000 0.500
CELL_PARAMETERS angstrom
-0.289 -1.257 4.662
4.688 -1.191 -0.030
0.905 3.537 1.010
```

## Properties
Polymorph energy (0 for the lowest one) in meV per atom: 0
Formation energy without anion corrections in eV/f.u.: 0.5
Uncorrected energy in eV/f.u.: -30.675
SG: P4/mmm (123)